Entry 1:
# InH

A relaxed InH crystal (GGA-PBE, Alexandria via LeMat-Bulk).

## Properties
Electronic total energy ... -2.682 eV/atom
Mass density ... 5.67 g/cm³
Distance to the lowest polymorph of the same formula ... 0.58 eV per formula unit

abc: 8.401 8.401 3.843
angles: 90.00 90.00 90.00
Positions (direct):
In 0.083 0.722 0.000
In 0.222 0.417 0.500
In 0.278 0.083 0.000
In 0.417 0.778 0.500
In 0.583 0.222 0.500
In 0.722 0.917 0.000
In 0.778 0.583 0.500
In 0.917 0.278 0.000
H 0.166 0.818 0.500
H 0.182 0.166 0.500
H 0.318 0.334 0.000
H 0.334 0.682 0.000
H 0.666 0.318 0.000
H 0.682 0.666 0.000
H 0.818 0.834 0.500
H 0.834 0.182 0.500

---

Entry 2:
# InH

A relaxed InH crystal (GGA-PBE, Alexandria via LeMat-Bulk).

## Properties
Electronic total energy ... -2.971 eV/atom
Mass density ... 4.60 g/cm³
Distance to the lowest polymorph of the same formula ... 0.00 eV per formula unit

abc: 3.204 3.210 9.389
angles: 86.65 88.09 60.24
Positions (direct):
In 0.000 0.000 0.000
In 0.330 0.281 0.303
H 0.578 0.696 0.691
H 0.581 0.691 0.610

---

Entry 3:
# In3H

A relaxed In3H crystal (GGA-PBE, Alexandria via LeMat-Bulk).

## Properties
Electronic total energy ... -2.661 eV/atom
Mass density ... 6.72 g/cm³

abc: 3.433 8.687 5.726
angles: 90.00 90.00 90.00
Positions (direct):
In 0.000 0.000 0.000
In 0.000 0.181 0.500
In 0.000 0.819 0.500
In 0.500 0.319 0.000
In 0.500 0.500 0.500
In 0.500 0.681 0.000
H 0.000 0.500 0.998
H 0.500 0.000 0.498

---

Entry 4:
# In3H2

A relaxed In3H2 crystal (GGA-PBE, Alexandria via LeMat-Bulk).

## Properties
Electronic total energy ... -2.705 eV/atom
Mass density ... 6.00 g/cm³

abc: 7.478 6.941 9.802
angles: 49.52 44.91 85.57
Positions (direct):
In 0.000 0.000 0.000
In 0.062 0.606 0.769
In 0.250 0.250 0.250
In 0.481 0.687 0.188
In 0.606 0.062 0.563
In 0.687 0.481 0.644
H 0.133 0.710 0.403
H 0.496 0.847 0.540
H 0.710 0.133 0.754
H 0.847 0.496 0.117